Record 1
Material: LiTc
Method: DFT, PBE
State: relaxed

Geometry as extended XYZ:
```
12
Lattice="2.763 0.000 0.000 -1.381 2.392 0.000 0.000 0.000 28.131" Properties=species:S:1:pos:R:3 pbc="T T T"
Li 0.000 0.000 3.371
Li 1.381 0.797 6.006
Li 0.000 0.000 24.759
Li 1.381 0.797 12.748
Li 0.000 1.595 22.125
Li 0.000 1.595 15.382
Tc 0.000 1.595 10.396
Tc 0.000 0.000 8.358
Tc 0.000 1.595 27.111
Tc 0.000 0.000 19.773
Tc 1.381 0.797 1.019
Tc 1.381 0.797 17.735
```

Values from the calculation:
Space group: R-3m
Formation energy: 0.117 eV/atom


Record 2
Material: CdH3Pd
Method: DFT, PBE
State: relaxed

Geometry as extended XYZ:
```
5
Lattice="-0.850 3.261 1.677 -2.233 0.905 -2.892 -2.908 -1.648 1.730" Properties=species:S:1:pos:R:3 pbc="T T T"
Cd 0.000 0.000 0.000
H -0.425 1.630 0.838
H -1.116 0.452 -1.446
H -1.454 -0.824 0.865
Pd -2.996 1.259 0.257
```

Values from the calculation:
Space group: Pm-3m


| no. | energy above the lowest structure with this stoichiometry (kcal/mol of atoms) | spin magnetization (μB per formula unit) |
| --- | --- | --- |
| 1 | 0.54 | 0.00 |
| 2 | 15.41 | 0.00 |